Model a:
VASP calculation (GGA-PBEsol) on Sr2CdSb after structural relaxation.

Results
Crystal system ... orthorhombic

The structure in CIF format:
```
data_Sr2CdSb
_space_group_name_H-M_alt 'A m m 2'
_space_group_IT_number 38
_cell_length_a 4.681
_cell_length_b 4.672
_cell_length_c 12.168
_cell_angle_alpha 90.00
_cell_angle_beta 90.00
_cell_angle_gamma 90.00
loop_
_space_group_symop_operation_xyz
'x,y,z'
'-x,-y,z'
'-x,y,z'
'x,-y,z'
'x,y+1/2,z+1/2'
'-x,-y+1/2,z+1/2'
'-x,y+1/2,z+1/2'
'x,-y+1/2,z+1/2'
loop_
_atom_site_label
_atom_site_fract_x
_atom_site_fract_y
_atom_site_fract_z
Sr1 0.000 0.000 0.000
Sr2 0.500 0.000 0.277
Cd1 0.000 0.000 0.720
Sb1 0.500 0.000 0.560
```

Model b:
VASP calculation (GGA-PBEsol) on Sr2CdSb after structural relaxation.

Results
Crystal system ... tetragonal

The structure in CIF format:
```
data_Sr2CdSb
_space_group_name_H-M_alt 'P 4/m m m'
_space_group_IT_number 123
_space_group_name_Hall '-P 4 2'
_cell_length_a 5.348
_cell_length_b 5.348
_cell_length_c 4.369
_cell_angle_alpha 90.00
_cell_angle_beta 90.00
_cell_angle_gamma 90.00
loop_
_atom_site_label
_atom_site_fract_x
_atom_site_fract_y
_atom_site_fract_z
Sr1 0.000 0.500 0.000
Cd1 0.000 0.000 0.500
Sb1 0.500 0.500 0.500
```

Which of them is the most stable, and which is the least stable? model a and model b, in that order.

Model a:
VASP calculation (GGA-PBEsol) on Ta2CdSb after structural relaxation.

Results
Crystal system ... cubic

The structure in CIF format:
```
data_Ta2CdSb
_space_group_name_H-M_alt 'F m -3 m'
_space_group_IT_number 225
_space_group_name_Hall '-F 4 2 3'
_cell_length_a 6.694
_cell_length_b 6.694
_cell_length_c 6.694
_cell_angle_alpha 90.00
_cell_angle_beta 90.00
_cell_angle_gamma 90.00
loop_
_atom_site_label
_atom_site_fract_x
_atom_site_fract_y
_atom_site_fract_z
Ta1 0.250 0.250 0.250
Cd1 0.000 0.000 0.000
Sb1 0.000 0.000 0.500
```

Model b:
VASP calculation (GGA-PBEsol) on Ta2CdSb after structural relaxation.

Results
Crystal system ... trigonal

The structure in CIF format:
```
data_Ta2CdSb
_space_group_name_H-M_alt 'R -3 m'
_space_group_IT_number 166
_space_group_name_Hall '-R 3 2"'
_cell_length_a 3.0416
_cell_length_b 3.0416
_cell_length_c 28.7968
_cell_angle_alpha 90.00
_cell_angle_beta 90.00
_cell_angle_gamma 120.00
loop_
_atom_site_label
_atom_site_fract_x
_atom_site_fract_y
_atom_site_fract_z
Ta1 0.0000 0.0000 0.2487
Cd1 0.0000 0.0000 0.0000
Sb1 0.0000 0.0000 0.5000
```

Model c:
VASP calculation (GGA-PBEsol) on Ta2CdSb after structural relaxation.

Results
Crystal system ... orthorhombic

The structure in CIF format:
```
data_Ta2CdSb
_space_group_name_H-M_alt 'I m m 2'
_space_group_IT_number 44
_cell_length_a 3.545
_cell_length_b 4.649
_cell_length_c 9.269
_cell_angle_alpha 90.00
_cell_angle_beta 90.00
_cell_angle_gamma 90.00
loop_
_space_group_symop_operation_xyz
'x,y,z'
'-x,-y,z'
'-x,y,z'
'x,-y,z'
'x+1/2,y+1/2,z+1/2'
'-x+1/2,-y+1/2,z+1/2'
'-x+1/2,y+1/2,z+1/2'
'x+1/2,-y+1/2,z+1/2'
loop_
_atom_site_label
_atom_site_fract_x
_atom_site_fract_y
_atom_site_fract_z
Ta1 0.000 0.000 0.000
Ta2 0.000 0.500 0.272
Cd1 0.000 0.000 0.509
Sb1 0.000 0.500 0.748
```

Which of them is the most stable, and which is the least stable? model c and model a, in that order.

Model a:
VASP calculation (GGA-PBEsol) on TaCdSb2 after structural relaxation.

Results
Crystal system ... monoclinic

The structure in CIF format:
```
data_TaCdSb2
_space_group_name_H-M_alt 'P 1 m 1'
_space_group_IT_number 6
_cell_length_a 3.077
_cell_length_b 4.764
_cell_length_c 5.884
_cell_angle_alpha 90.00
_cell_angle_beta 90.02
_cell_angle_gamma 90.00
loop_
_space_group_symop_operation_xyz
'x,y,z'
'x,-y,z'
loop_
_atom_site_label
_atom_site_fract_x
_atom_site_fract_y
_atom_site_fract_z
Ta1 0.000 0.000 0.000
Cd1 0.498 0.500 0.302
Sb1 0.000 0.000 0.495
Sb2 0.501 0.500 0.822
```

Model b:
VASP calculation (GGA-PBEsol) on TaCdSb2 after structural relaxation.

Results
Crystal system ... cubic

The structure in CIF format:
```
data_TaCdSb2
_space_group_name_H-M_alt 'F m -3 m'
_space_group_IT_number 225
_space_group_name_Hall '-F 4 2 3'
_cell_length_a 7.023
_cell_length_b 7.023
_cell_length_c 7.023
_cell_angle_alpha 90.00
_cell_angle_beta 90.00
_cell_angle_gamma 90.00
loop_
_atom_site_label
_atom_site_fract_x
_atom_site_fract_y
_atom_site_fract_z
Ta1 0.000 0.000 0.000
Cd1 0.000 0.000 0.500
Sb1 0.250 0.250 0.250
```

Which of them is the most stable, and which is the least stable? model a and model b, in that order.